Record 1
Sr3SiBi: optimized geometry, GGA-PBE.

The structure belongs to space group C2/m (No. 12); the cell edges are 18.444, 4.202 and 9.427 Å and the angles 90.00°, 94.60° and 90.00°. The inequivalent atoms are Sr at (0.046, 0.000, 0.190), Sr at (0.107, 0.500, 0.567), Sr at (0.249, 0.000, 0.801), Si at (0.217, 0.000, 0.452) and Bi at (0.112, 0.500, 0.929).

The value obtained for the energy relative to the lowest polymorph listed for this composition is 0.0000 eV/atom. As for the energy relative to the elements, uncorrected: -0.55 eV per atom. The calculated volume comes out at 36.41 Å³/atom. Its total energy is -0.126 hartree per atom. Its density of states at the Fermi level is 8.3 states/eV per cell. The calculation puts the size of the total moment at 0.205 μB per formula unit.



Record 2
LiTi2BeAl: optimized geometry, GGA-PBE.

The structure belongs to space group P4/mmm (No. 123); the cell edges are 4.462, 4.462 and 4.266 Å and the angles 90.00°, 90.00° and 90.00°. The inequivalent atoms are Li at (0.000, 0.000, 0.000), Ti at (0.000, 0.500, 0.500), Be at (0.500, 0.500, 0.500) and Al at (0.500, 0.500, 0.000).

The value obtained for the formation energy is 0.34 eV per atom. The calculated volume comes out at 16.99 Å³/atom. Its total energy is -0.172 hartree per atom. Its density of states at the Fermi level is 4.7 states/eV per cell. The calculation puts the size of the total moment at 0.001 μB per formula unit.



Record 3
SrTbTlCu: optimized geometry, GGA-PBE.

The structure belongs to space group F-43m (No. 216); the cell edges are 7.596, 7.596 and 7.596 Å and the angles 90.00°, 90.00° and 90.00°. The inequivalent atoms are Sr at (0.000, 0.000, 0.000), Tb at (0.000, 0.000, 0.500), Tl at (0.250, 0.250, 0.250) and Cu at (0.250, 0.250, 0.750).

The value obtained for the formation energy is -0.14 eV per atom. The calculated volume comes out at 27.40 Å³/atom. Its total energy is -0.123 hartree per atom. Its density of states at the Fermi level is 20.2 states/eV per cell. The calculation puts the size of the total moment at 0.000 μB per formula unit.



Record 4
Tb2DyYHo6: optimized geometry, GGA-PBE.

The structure belongs to space group C2/c (No. 15); the cell edges are 8.979, 15.019 and 9.539 Å and the angles 90.00°, 97.91° and 90.00°. The inequivalent atoms are Tb at (0.249, 0.054, 0.043), Dy at (0.000, 0.409, 0.250), Y at (0.000, 0.022, 0.750), Ho at (0.062, 0.188, 0.444), Ho at (0.104, 0.394, 0.620) and Ho at (0.203, 0.225, 0.815).

The value obtained for the formation energy is 0.12 eV per atom. The calculated volume comes out at 31.85 Å³/atom. Its total energy is -0.171 hartree per atom. Its density of states at the Fermi level is 55.5 states/eV per cell. The calculation puts the size of the total moment at 0.000 μB per formula unit.



Record 5
Mg2SnF2: optimized geometry, GGA-PBE.

The structure belongs to space group I4/mmm (No. 139); the cell edges are 3.501, 3.501 and 13.162 Å and the angles 90.00°, 90.00° and 90.00°. The inequivalent atoms are Mg at (0.000, 0.000, 0.160), Sn at (0.000, 0.000, 0.500) and F at (0.000, 0.500, 0.250).

As for the energy relative to the elements, uncorrected: -2.03 eV per atom. The calculated volume comes out at 16.13 Å³/atom. Its total energy is -0.155 hartree per atom. Its density of states at the Fermi level is 2.1 states/eV per cell. The calculation puts the size of the total moment at 0.000 μB per formula unit.



Record 6
Tb3TmIn12: optimized geometry, GGA-PBE.

The structure belongs to space group P4/mmm (No. 123); the cell edges are 4.636, 4.636 and 18.627 Å and the angles 90.00°, 90.00° and 90.00°. The inequivalent atoms are Tb at (0.000, 0.000, 0.000), Tb at (0.000, 0.000, 0.251), Tm at (0.000, 0.000, 0.500), In at (0.000, 0.500, 0.126), In at (0.000, 0.500, 0.377), In at (0.500, 0.500, 0.000), In at (0.500, 0.500, 0.251) and In at (0.500, 0.500, 0.500).

The value obtained for the formation energy is -0.41 eV per atom. The calculated volume comes out at 25.03 Å³/atom. Its total energy is -0.133 hartree per atom. Its density of states at the Fermi level is 9.5 states/eV per cell. The calculation puts the size of the total moment at 0.000 μB per formula unit.